# 1
A plane-wave DFT calculation with PBE was carried out for a relaxed structure of ReTe4Br.

Formation energy (no corrections) ... 1.14 eV per atom
DOS(E_F) ... 0.784 states/eV/atom
Space-group type ... No. 216

Lattice parameters (Å, degrees): 6.2898 6.2898 6.2898 60.00 60.00 60.00
Positions (direct):
Br (0.7500, 0.7500, 0.7500)
Te (0.3740, 0.8780, 0.3740)
Te (0.8780, 0.3740, 0.3740)
Te (0.3740, 0.3740, 0.3740)
Te (0.3740, 0.3740, 0.8780)
Re (0.0000, 0.0000, 0.0000)



# 2
A plane-wave DFT calculation with PBE was carried out for a relaxed structure of Re2TeBr.

Distance to the lowest polymorph of the same formula ... 2.979 kcal/mol of atoms
Formation energy (no corrections) ... 0.42 eV per atom
DOS(E_F) ... 0.650 states/eV/atom
Space-group type ... No. 6

Lattice parameters (Å, degrees): 3.5557 3.1708 8.1542 78.72 90.00 90.00
Positions (direct):
Te (0.0000, 0.5943, 0.4147)
Re (0.0000, 0.7598, 0.0651)
Re (0.5000, 0.2445, 0.2072)
Br (0.5000, 0.9013, 0.8130)



Question: The lowest formation energy (no corrections) belongs to which entry?
Answer: Re2TeBr



Repeat the second record exactly.
A plane-wave DFT calculation with PBE was carried out for a relaxed structure of Re2TeBr.

Distance to the lowest polymorph of the same formula ... 2.979 kcal/mol of atoms
Formation energy (no corrections) ... 0.42 eV per atom
DOS(E_F) ... 0.650 states/eV/atom
Space-group type ... No. 6

Lattice parameters (Å, degrees): 3.5557 3.1708 8.1542 78.72 90.00 90.00
Positions (direct):
Te (0.0000, 0.5943, 0.4147)
Re (0.0000, 0.7598, 0.0651)
Re (0.5000, 0.2445, 0.2072)
Br (0.5000, 0.9013, 0.8130)



Question: Among the records above, which one has the lowest DOS(E_F)?
Answer: Re2TeBr